This record from Alexandria via LeMat-Bulk describes an optimized crystal structure of TmGa4IrRh2. The functional is PBE.

Its crystal system is trigonal. The volume comes out at 16.5 A^3/atom. The total energy is -5.645 eV per atom. For the magnetization, the calculation gives 0.00 Bohr magnetons per cell.

The structure belongs to space group R-3m (No. 166, hexagonal axes); the cell edges are 4.2324, 4.2324 and 25.4646 Å and the angles 90.00°, 90.00° and 120.00°. The distinct sites, in fractional coordinates, are Tm at (0.0000, 0.0000, 0.0000), Ga at (0.0000, 0.0000, 0.1308), Ga at (0.0000, 0.0000, 0.3966), Ir at (0.0000, 0.0000, 0.5000) and Rh at (0.0000, 0.0000, 0.2381).

***

This record from Alexandria via LeMat-Bulk describes an optimized crystal structure of YAgPt. The functional is PBE.

Its crystal system is hexagonal. The volume comes out at 21.2 A^3/atom. The total energy is -5.741 eV per atom. For the magnetization, the calculation gives 0.00 Bohr magnetons per cell.

The structure belongs to space group P-6m2 (No. 187); the cell edges are 4.6372, 4.6372 and 3.4206 Å and the angles 90.00°, 90.00° and 120.00°. The distinct sites, in fractional coordinates, are Y at (0.0000, 0.0000, 0.0000), Ag at (0.6667, 0.3333, 0.5000) and Pt at (0.3333, 0.6667, 0.5000).

***

This record from Alexandria via LeMat-Bulk describes an optimized crystal structure of OsRh2. The functional is PBE.

Its crystal system is triclinic. The volume comes out at 16.8 A^3/atom. The total energy is -8.043 eV per atom. For the magnetization, the calculation gives 0.00 Bohr magnetons per cell.

The structure belongs to space group P-1 (No. 2); the cell edges are 3.8973, 3.9187 and 4.4140 Å and the angles 63.68°, 63.89° and 60.65°. The distinct sites, in fractional coordinates, are Os at (0.0000, 0.0000, 0.0000) and Rh at (0.2326, 0.2341, 0.3036).